Entry 1:
Here is a geometry-optimized Er2IrRu structure from the Alexandria database. Energies are from PBE.

Properties
DFT total energy   -7.50 eV per atom
Calculated volume   77.3 Å³ per cell
Energy of formation from the pure elements   -0.680 eV per atom
Density of states at the Fermi level   1.7 states/eV/cell

```
Er2IrRu
1.0
4.7806 0.0000 0.0000
2.3903 4.1401 0.0000
2.3903 1.3800 3.9033
Ru Ir Er
1 1 2
direct
0.5000 0.5000 0.5000
0.0000 0.0000 0.0000
0.7500 0.7500 0.7500
0.2500 0.2500 0.2500
```

=====

Entry 2:
Here is a geometry-optimized Er5Ir4Ru structure from the Alexandria database. Energies are from PBE.

Properties
DFT total energy   -7.54 eV per atom
Calculated volume   194.7 Å³ per cell
Energy of formation from the pure elements   -0.786 eV per atom
Density of states at the Fermi level   5.8 states/eV/cell

```
Er5Ir4Ru
1.0
-0.8309 -3.2932 0.2300
0.6707 -0.4006 -3.3134
15.9546 -3.7682 3.6850
Er Ru Ir
5 1 4
direct
0.5000 0.5000 0.5000
0.5000 0.5000 0.7008
0.5000 0.5000 0.2992
0.5000 0.5000 0.9021
0.5000 0.5000 0.0979
0.0000 0.0000 0.0000
0.0000 0.0000 0.8000
0.0000 0.0000 0.2000
0.0000 0.0000 0.4000
0.0000 0.0000 0.6000
```

=====

Entry 3:
Here is a geometry-optimized Er2IrRu structure from the Alexandria database. Energies are from PBE.

Properties
DFT total energy   -7.48 eV per atom
Calculated volume   77.2 Å³ per cell
Energy of formation from the pure elements   -0.665 eV per atom
Density of states at the Fermi level   1.5 states/eV/cell

```
Er2IrRu
1.0
-1.2393 2.4612 1.9402
-4.2216 -2.2499 0.1575
1.4103 -2.3725 3.9104
Ir Er Ru
1 2 1
direct
0.5000 0.5000 0.5000
0.0000 0.0000 0.5000
0.0000 0.5000 0.0000
0.5000 0.0000 0.0000
```

=====

Entry 4:
Here is a geometry-optimized Er5IrRu2 structure from the Alexandria database. Energies are from PBE.

Properties
DFT total energy   -6.80 eV per atom
Calculated volume   364.2 Å³ per cell
Energy of formation from the pure elements   -0.524 eV per atom
Density of states at the Fermi level   8.5 states/eV/cell

```
Er5IrRu2
1.0
-5.0558 1.8484 4.7769
-4.0673 -5.5284 -2.1656
7.6030 -2.2836 3.5089
Ru Er Ir
4 10 2
direct
0.3753 0.8753 0.0000
0.1247 0.3753 0.0000
0.6247 0.1247 0.0000
0.8753 0.6247 0.0000
0.4674 0.3201 0.2875
0.3201 0.8201 0.2875
0.9674 0.4674 0.2875
0.6799 0.1799 0.7125
0.8201 0.9674 0.2875
0.1799 0.0326 0.7125
0.5326 0.6799 0.7125
0.0326 0.5326 0.7125
0.0000 0.0000 0.0000
0.5000 0.5000 0.0000
0.7500 0.7500 0.5000
0.2500 0.2500 0.5000
```